# 1
! PBE LiPm2Ni3As4, relaxed; values from VASP
! Calculated formation energy = -0.853 eV/atom
&SYSTEM
  ibrav = 0, nat = 10, ntyp = 4
/
ATOMIC_SPECIES
Li 6.94 Li.upf
Pm 145.00 Pm.upf
Ni 58.69 Ni.upf
As 74.92 As.upf
ATOMIC_POSITIONS angstrom
Li 0.000 0.000 0.000
Pm 0.000 2.109 7.183
Pm 2.109 0.000 2.426
Ni 0.000 2.109 3.691
Ni 2.109 0.000 5.917
Ni 2.109 2.109 0.000
As 0.000 0.000 4.804
As 0.000 2.109 1.304
As 2.109 0.000 8.305
As 2.109 2.109 4.804
CELL_PARAMETERS angstrom
4.218 0.000 0.000
0.000 4.218 0.000
0.000 0.000 9.609

# 2
! PBE K2Y, relaxed; values from VASP
! Calculated formation energy = 0.540 eV/atom
&SYSTEM
  ibrav = 0, nat = 3, ntyp = 2
/
ATOMIC_SPECIES
K 39.10 K.upf
Y 88.91 Y.upf
ATOMIC_POSITIONS angstrom
K 0.000 3.957 0.000
K 3.427 1.979 0.000
Y 0.000 0.000 1.841
CELL_PARAMETERS angstrom
6.854 0.000 0.000
-3.427 5.936 0.000
0.000 0.000 3.683

# 3
! PBE LiSnI2O, relaxed; values from VASP
! Energy relative to the lowest polymorph listed for this composition = 0 meV/atom
! Energy relative to the elements, uncorrected = -670 meV/atom
&SYSTEM
  ibrav = 0, nat = 5, ntyp = 4
/
ATOMIC_SPECIES
Li 6.94 Li.upf
Sn 118.71 Sn.upf
I 126.90 I.upf
O 16.00 O.upf
ATOMIC_POSITIONS angstrom
Li 0.000 0.000 0.000
Sn 3.092 3.092 2.044
I 0.000 3.092 2.044
I 3.092 0.000 2.044
O 3.092 3.092 0.000
CELL_PARAMETERS angstrom
6.184 0.000 0.000
0.000 6.184 0.000
0.000 0.000 4.089

# 4
! PBE LiHgCl, relaxed; values from VASP
! Energy relative to the lowest polymorph listed for this composition = 20 meV/atom
! Energy relative to the elements, uncorrected = -1119 meV/atom
&SYSTEM
  ibrav = 0, nat = 3, ntyp = 3
/
ATOMIC_SPECIES
Li 6.94 Li.upf
Hg 200.59 Hg.upf
Cl 35.45 Cl.upf
ATOMIC_POSITIONS angstrom
Li 0.000 0.000 0.000
Hg 1.979 1.142 3.478
Cl 0.000 2.285 6.978
CELL_PARAMETERS angstrom
3.957 0.000 0.000
-1.979 3.427 0.000
0.000 0.000 6.991

# 5
! PBE Np6Ni23, relaxed; values from VASP
! Calculated formation energy = -0.084 eV/atom
&SYSTEM
  ibrav = 0, nat = 29, ntyp = 2
/
ATOMIC_SPECIES
Np 237.00 Np.upf
Ni 58.69 Ni.upf
ATOMIC_POSITIONS angstrom
Np 5.823 5.823 2.428
Np 5.823 2.428 5.823
Np 9.218 5.823 5.823
Np 2.428 5.823 5.823
Np 5.823 9.218 5.823
Np 5.823 5.823 9.218
Ni 2.912 2.912 0.000
Ni 2.912 0.000 2.912
Ni 5.823 2.912 2.912
Ni 7.234 4.412 4.412
Ni 2.012 2.012 2.012
Ni 3.812 3.812 2.012
Ni 3.812 2.012 3.812
Ni 4.412 4.412 4.412
Ni 7.234 7.234 4.412
Ni 7.234 4.412 7.234
Ni 2.012 3.812 3.812
Ni 0.000 2.912 2.912
Ni 2.912 5.823 2.912
Ni 2.912 2.912 5.823
Ni 5.823 5.823 5.823
Ni 9.635 7.835 7.835
Ni 4.412 7.234 4.412
Ni 4.412 4.412 7.234
Ni 7.234 7.234 7.234
Ni 7.835 9.635 7.835
Ni 7.835 7.835 9.635
Ni 9.635 9.635 9.635
Ni 4.412 7.234 7.234
CELL_PARAMETERS angstrom
0.000 5.823 5.823
5.823 0.000 5.823
5.823 5.823 0.000

# 6
! PBE MgRe2Hg, relaxed; values from VASP
! Energy relative to the lowest polymorph listed for this composition = 350 meV/atom
! Calculated formation energy = 0.536 eV/atom
&SYSTEM
  ibrav = 0, nat = 4, ntyp = 3
/
ATOMIC_SPECIES
Mg 24.30 Mg.upf
Re 186.21 Re.upf
Hg 200.59 Hg.upf
ATOMIC_POSITIONS angstrom
Mg 0.000 0.000 0.000
Re 0.626 2.436 3.879
Re 1.788 2.436 1.170
Hg 1.207 0.000 2.524
CELL_PARAMETERS angstrom
2.789 0.000 0.000
0.000 4.872 0.000
-0.375 0.000 5.049